# Cs2YInI6 (GGA-PBE, relaxed)
# M_tot: 0.000 μB/atom
# energy relative to the elements, uncorrected: -1.28 eV/atom
data_Cs2YInI6
_chemical_formula_sum 'Cs8 Y4 In4 I24'
_space_group_name_H-M_alt 'F m -3 m'
_space_group_IT_number 225
_space_group_name_Hall '-F 4 2 3'
_cell_length_a 12.7676
_cell_length_b 12.7676
_cell_length_c 12.7676
_cell_angle_alpha 90.00
_cell_angle_beta 90.00
_cell_angle_gamma 90.00
loop_
_atom_site_label
_atom_site_type_symbol
_atom_site_fract_x
_atom_site_fract_y
_atom_site_fract_z
Cs1 Cs 0.2500 0.2500 0.2500
Y1 Y 0.0000 0.0000 0.0000
In1 In 0.0000 0.0000 0.5000
I1 I 0.0000 0.0000 0.2374



# Cs2ZnInI6 (GGA-PBE, relaxed)
# M_tot: 0.000 μB/atom
# energy relative to the elements, uncorrected: -0.89 eV/atom
data_Cs2ZnInI6
_chemical_formula_sum 'Cs4 Zn2 In2 I12'
_space_group_name_H-M_alt 'I 4/m m m'
_space_group_IT_number 139
_space_group_name_Hall '-I 4 2'
_cell_length_a 8.4379
_cell_length_b 8.4379
_cell_length_c 11.9871
_cell_angle_alpha 90.00
_cell_angle_beta 90.00
_cell_angle_gamma 90.00
loop_
_atom_site_label
_atom_site_type_symbol
_atom_site_fract_x
_atom_site_fract_y
_atom_site_fract_z
Cs1 Cs 0.0000 0.5000 0.2500
Zn1 Zn 0.0000 0.0000 0.0000
In1 In 0.0000 0.0000 0.5000
I1 I 0.0000 0.0000 0.2429
I2 I 0.2426 0.2426 0.0000



# CsZn4In3I12 (GGA-PBE, relaxed)
# M_tot: 0.000 μB/atom
# energy relative to the elements, uncorrected: -0.60 eV/atom
data_CsZn4In3I12
_chemical_formula_sum 'Cs3 Zn12 In9 I36'
_space_group_name_H-M_alt 'R 3 2'
_space_group_IT_number 155
_space_group_name_Hall 'R 3 2"'
_cell_length_a 16.6611
_cell_length_b 16.6611
_cell_length_c 13.7178
_cell_angle_alpha 90.00
_cell_angle_beta 90.00
_cell_angle_gamma 120.00
loop_
_atom_site_label
_atom_site_type_symbol
_atom_site_fract_x
_atom_site_fract_y
_atom_site_fract_z
Cs1 Cs 0.0000 0.0000 0.0000
Zn1 Zn 0.0000 0.0000 0.5000
Zn2 Zn 0.0000 0.4490 0.5000
In1 In 0.0000 0.5436 0.0000
I1 I 0.0000 0.6023 0.5000
I2 I 0.0000 0.8473 0.5000
I3 I 0.0354 0.2143 0.1629



# CsZnInI2 (GGA-PBE, relaxed)
# M_tot: 0.000 μB/atom
# energy relative to the elements, uncorrected: -0.65 eV/atom
data_CsZnInI2
_chemical_formula_sum 'Cs1 Zn1 In1 I2'
_space_group_name_H-M_alt 'P 4/m m m'
_space_group_IT_number 123
_space_group_name_Hall '-P 4 2'
_cell_length_a 6.5588
_cell_length_b 6.5588
_cell_length_c 5.2397
_cell_angle_alpha 90.00
_cell_angle_beta 90.00
_cell_angle_gamma 90.00
loop_
_atom_site_label
_atom_site_type_symbol
_atom_site_fract_x
_atom_site_fract_y
_atom_site_fract_z
Cs1 Cs 0.0000 0.0000 0.0000
Zn1 Zn 0.5000 0.5000 0.0000
In1 In 0.5000 0.5000 0.5000
I1 I 0.0000 0.5000 0.5000



# CsZnInI4 (GGA-PBE, relaxed)
# M_tot: 0.000 μB/atom
# energy relative to the elements, uncorrected: -0.85 eV/atom
data_CsZnInI4
_chemical_formula_sum 'Cs2 Zn2 In2 I8'
_space_group_name_H-M_alt 'P 1 21/m 1'
_space_group_IT_number 11
_cell_length_a 7.9285
_cell_length_b 8.2904
_cell_length_c 10.4980
_cell_angle_alpha 90.00
_cell_angle_beta 108.90
_cell_angle_gamma 90.00
loop_
_space_group_symop_operation_xyz
'x,y,z'
'-x,-y,-z'
'-x,y+1/2,-z'
'x,-y+1/2,z'
loop_
_atom_site_label
_atom_site_type_symbol
_atom_site_fract_x
_atom_site_fract_y
_atom_site_fract_z
Cs1 Cs 0.2346 0.2500 0.4333
Zn1 Zn 0.2925 0.7500 0.1878
In1 In 0.2697 0.2500 0.9527
I1 I 0.0897 0.7500 0.9342
I2 I 0.1002 0.7500 0.3531
I3 I 0.4945 0.5038 0.7623



# CsZrIn2I8 (GGA-PBE, relaxed)
# M_tot: 0.000 μB/atom
# energy relative to the elements, uncorrected: -0.77 eV/atom
data_CsZrIn2I8
_chemical_formula_sum 'Cs1 Zr1 In2 I8'
_space_group_name_H-M_alt 'P -1'
_space_group_IT_number 2
_cell_length_a 7.6390
_cell_length_b 7.8721
_cell_length_c 10.4509
_cell_angle_alpha 75.52
_cell_angle_beta 81.89
_cell_angle_gamma 79.96
loop_
_space_group_symop_operation_xyz
'x,y,z'
'-x,-y,-z'
loop_
_atom_site_label
_atom_site_type_symbol
_atom_site_fract_x
_atom_site_fract_y
_atom_site_fract_z
Cs1 Cs 0.0000 0.0000 0.0000
Zr1 Zr 0.0000 0.0000 0.5000
In1 In 0.4620 0.4371 0.2387
I1 I 0.1221 0.7206 0.7251
I2 I 0.2472 0.8302 0.3188
I3 I 0.2642 0.2039 0.5223
I4 I 0.3924 0.2821 0.0096



# Cs3IrI (GGA-PBE, relaxed)
# M_tot: 0.000 μB/atom
# energy relative to the elements, uncorrected: -0.06 eV/atom
data_Cs3IrI
_chemical_formula_sum 'Cs3 Ir1 I1'
_space_group_name_H-M_alt 'P m -3 m'
_space_group_IT_number 221
_space_group_name_Hall '-P 4 2 3'
_cell_length_a 6.2496
_cell_length_b 6.2496
_cell_length_c 6.2496
_cell_angle_alpha 90.00
_cell_angle_beta 90.00
_cell_angle_gamma 90.00
loop_
_atom_site_label
_atom_site_type_symbol
_atom_site_fract_x
_atom_site_fract_y
_atom_site_fract_z
Cs1 Cs 0.0000 0.0000 0.5000
Ir1 Ir 0.0000 0.0000 0.0000
I1 I 0.5000 0.5000 0.5000



# Cs2IrI6 (GGA-PBE, relaxed)
# M_tot: 0.141 μB/atom
# energy relative to the elements, uncorrected: -0.61 eV/atom
data_Cs2IrI6
_chemical_formula_sum 'Cs4 Ir2 I12'
_space_group_name_H-M_alt 'P 42/m n m'
_space_group_IT_number 136
_space_group_name_Hall '-P 4n 2n'
_cell_length_a 7.9706
_cell_length_b 7.9706
_cell_length_c 15.9265
_cell_angle_alpha 90.00
_cell_angle_beta 90.00
_cell_angle_gamma 90.00
loop_
_atom_site_label
_atom_site_type_symbol
_atom_site_fract_x
_atom_site_fract_y
_atom_site_fract_z
Cs1 Cs 0.0000 0.0000 0.1677
Ir1 Ir 0.0000 0.0000 0.5000
I1 I 0.1682 0.1682 0.3791
I2 I 0.2384 0.7616 0.5000



# Cs2IrI (GGA-PBE, relaxed)
# M_tot: 0.500 μB/atom
# energy relative to the elements, uncorrected: 0.24 eV/atom
data_Cs2IrI
_chemical_formula_sum 'Cs8 Ir4 I4'
_space_group_name_H-M_alt 'F m -3 m'
_space_group_IT_number 225
_space_group_name_Hall '-F 4 2 3'
_cell_length_a 9.1145
_cell_length_b 9.1145
_cell_length_c 9.1145
_cell_angle_alpha 90.00
_cell_angle_beta 90.00
_cell_angle_gamma 90.00
loop_
_atom_site_label
_atom_site_type_symbol
_atom_site_fract_x
_atom_site_fract_y
_atom_site_fract_z
Cs1 Cs 0.2500 0.2500 0.2500
Ir1 Ir 0.0000 0.0000 0.0000
I1 I 0.0000 0.0000 0.5000



# Cs4Ir2I (GGA-PBE, relaxed)
# M_tot: 0.000 μB/atom
# energy relative to the elements, uncorrected: 0.36 eV/atom
data_Cs4Ir2I
_chemical_formula_sum 'Cs8 Ir4 I2'
_space_group_name_H-M_alt 'I 4/m m m'
_space_group_IT_number 139
_space_group_name_Hall '-I 4 2'
_cell_length_a 7.3181
_cell_length_b 7.3181
_cell_length_c 15.1578
_cell_angle_alpha 90.00
_cell_angle_beta 90.00
_cell_angle_gamma 90.00
loop_
_atom_site_label
_atom_site_type_symbol
_atom_site_fract_x
_atom_site_fract_y
_atom_site_fract_z
Cs1 Cs 0.0000 0.0000 0.2416
Cs2 Cs 0.0000 0.5000 0.0000
Ir1 Ir 0.0000 0.0000 0.4213
I1 I 0.0000 0.0000 0.0000



# CsIr3I (GGA-PBE, relaxed)
# M_tot: 0.310 μB/atom
# energy relative to the elements, uncorrected: 3.08 eV/atom
data_CsIr3I
_chemical_formula_sum 'Cs1 Ir3 I1'
_space_group_name_H-M_alt 'P m -3 m'
_space_group_IT_number 221
_space_group_name_Hall '-P 4 2 3'
_cell_length_a 5.0947
_cell_length_b 5.0947
_cell_length_c 5.0947
_cell_angle_alpha 90.00
_cell_angle_beta 90.00
_cell_angle_gamma 90.00
loop_
_atom_site_label
_atom_site_type_symbol
_atom_site_fract_x
_atom_site_fract_y
_atom_site_fract_z
Cs1 Cs 0.0000 0.0000 0.0000
Ir1 Ir 0.0000 0.0000 0.5000
I1 I 0.5000 0.5000 0.5000



# CsIr3I (GGA-PBE, relaxed)
# M_tot: 0.204 μB/atom
# energy relative to the elements, uncorrected: 1.76 eV/atom
data_CsIr3I
_chemical_formula_sum 'Cs1 Ir3 I1'
_space_group_name_H-M_alt 'P m -3 m'
_space_group_IT_number 221
_space_group_name_Hall '-P 4 2 3'
_cell_length_a 5.0639
_cell_length_b 5.0639
_cell_length_c 5.0639
_cell_angle_alpha 90.00
_cell_angle_beta 90.00
_cell_angle_gamma 90.00
loop_
_atom_site_label
_atom_site_type_symbol
_atom_site_fract_x
_atom_site_fract_y
_atom_site_fract_z
Cs1 Cs 0.0000 0.0000 0.0000
Ir1 Ir 0.0000 0.5000 0.5000
I1 I 0.5000 0.5000 0.5000